Entry 1:
VASP calculation (PBE) on an optimized crystal structure of TbUTi2O8.

```
TbUTi2O8
1.0
5.151 0.000 0.000
0.000 5.151 0.000
-2.576 -2.576 5.500
Tb U Ti O
1 1 2 8
Direct
0.750 0.250 0.500
0.000 0.000 0.000
0.500 0.500 0.000
0.250 0.750 0.500
0.761 0.843 0.163
0.402 0.320 0.163
0.596 0.670 0.677
0.081 0.007 0.677
0.993 0.404 0.323
0.330 0.919 0.323
0.157 0.598 0.837
0.680 0.239 0.837
```

Output
symmetry	No. 82
ΔE_f (raw)	-3199	meV per atom

=====

Entry 2:
VASP calculation (PBE) on an optimized crystal structure of TiPSeO2.

```
TiPSeO2
1.0
3.822 0.000 0.000
0.000 3.822 0.000
0.000 0.000 4.917
P O Se Ti
1 2 1 1
Direct
0.000 0.000 0.500
0.000 0.500 0.000
0.500 0.000 0.000
0.000 0.000 0.000
0.500 0.500 0.500
```

Output
symmetry	No. 123
ΔE_f (raw)	-157	meV per atom
energy relative to the lowest polymorph listed for this composition	999.8	meV per atom

=====

Entry 3:
VASP calculation (PBE) on an optimized crystal structure of CrReTc.

```
CrReTc
1.0
6.696 -0.020 0.015
5.984 2.547 -0.004
0.712 -0.776 2.447
Cr Re Tc
1 1 1
Direct
0.000 0.000 0.000
0.339 0.339 0.661
0.660 0.660 0.340
```

Output
symmetry	No. 42
calculated formation energy	17.70	kJ/mol of atoms
energy relative to the lowest polymorph listed for this composition	83.2	meV per atom

=====

Entry 4:
VASP calculation (PBE) on an optimized crystal structure of FeAg2Os.

```
FeAg2Os
1.0
-2.661 -2.564 3.124
-2.780 -1.553 -3.644
1.636 -2.119 -0.346
Ag Fe Os
2 1 1
Direct
0.000 0.000 0.000
0.500 0.500 0.000
0.500 0.000 0.500
0.000 0.500 0.500
```

Output
symmetry	No. 123
calculated formation energy	78.66	kJ/mol of atoms
energy relative to the lowest polymorph listed for this composition	501.1	meV per atom

=====

| no. | VASP energy (eV per formula unit) | density of states at the Fermi level (states/eV per cell) |
| --- | --- | --- |
| 1 | -109.77 | 2.358 |
| 2 | -27.49 | 4.646 |
| 3 | -31.89 | 3.879 |
| 4 | -22.13 | 3.371 |